BAs3H | Alexandria | PBE-GGA | optimized geometry; calculated volume = 16.7 A^3/atom; DOS(E_F) = 2.2 states/eV per cell; polymorph energy (0 for the lowest one) = 0.00 eV per formula unit; raw total energy = -18.01 eV per cell; mass density = 4.7 g/cm3
1.0
-0.589 -2.730 -3.367
4.106 -1.441 0.450
-1.390 -3.100 2.756
H As B
1 3 1
Direct
0.500 0.500 0.500
0.000 0.500 0.000
0.000 0.000 0.500
0.500 0.000 0.000
0.000 0.000 0.000

***

BAs2H | Alexandria | PBE-GGA | optimized geometry; calculated volume = 11.7 A^3/atom; DOS(E_F) = 1.7 states/eV per cell; polymorph energy (0 for the lowest one) = 2.16 eV per formula unit; raw total energy = -15.13 eV per cell; mass density = 5.7 g/cm3
1.0
2.218 -3.362 0.387
1.102 -1.286 3.675
-1.657 -3.349 1.553
H As B
1 2 1
Direct
0.000 0.000 0.000
0.250 0.250 0.250
0.750 0.750 0.750
0.500 0.500 0.500

***

InBAs2H | Alexandria | PBE-GGA | optimized geometry; calculated volume = 15.5 A^3/atom; DOS(E_F) = 1.9 states/eV per cell; raw total energy = -16.84 eV per cell; mass density = 5.9 g/cm3
1.0
4.188 0.000 0.000
0.000 4.429 0.000
0.000 0.000 4.188
H As B In
1 2 1 1
Direct
0.000 0.000 0.000
0.000 0.000 0.500
0.500 0.000 0.000
0.000 0.500 0.000
0.500 0.500 0.500

***

KBAs2H | Alexandria | PBE-GGA | optimized geometry; calculated volume = 23.4 A^3/atom; DOS(E_F) = 5.6 states/eV per cell; raw total energy = -9.75 eV per cell; mass density = 2.8 g/cm3
1.0
-0.042 -1.012 -5.685
5.762 -0.377 0.025
-0.228 -3.450 0.616
H As B K
1 2 1 1
Direct
0.000 0.000 0.500
0.000 0.500 0.000
0.500 0.000 0.000
0.500 0.500 0.500
0.000 0.000 0.000

***

BAsH2Pb | Alexandria | PBE-GGA | optimized geometry; calculated volume = 14.3 A^3/atom; DOS(E_F) = 2.0 states/eV per cell; raw total energy = -17.19 eV per cell; mass density = 6.8 g/cm3
1.0
-1.325 -2.139 3.226
3.870 -0.682 1.138
-0.059 3.578 2.348
Pb H As B
1 2 1 1
Direct
0.500 0.500 0.500
0.000 0.500 0.000
0.500 0.000 0.000
0.000 0.000 0.500
0.000 0.000 0.000

***

BAsHSe2 | Alexandria | PBE-GGA | optimized geometry; calculated volume = 17.8 A^3/atom; DOS(E_F) = 3.0 states/eV per cell; polymorph energy (0 for the lowest one) = 0.00 eV per formula unit; raw total energy = -15.97 eV per cell; mass density = 4.6 g/cm3
1.0
-4.301 -0.997 -1.273
1.615 -2.830 -3.240
-0.075 -3.190 2.749
H As B Se
1 1 1 2
Direct
0.500 0.500 0.500
0.000 0.000 0.500
0.000 0.000 0.000
0.000 0.500 0.000
0.500 0.000 0.000

***

BAs2HSe | Alexandria | PBE-GGA | optimized geometry; calculated volume = 17.1 A^3/atom; DOS(E_F) = 2.0 states/eV per cell; polymorph energy (0 for the lowest one) = 0.00 eV per formula unit; raw total energy = -17.02 eV per cell; mass density = 4.7 g/cm3
1.0
4.385 0.000 0.000
0.000 4.385 0.000
0.000 0.000 4.459
H As B Se
1 2 1 1
Direct
0.500 0.500 0.500
0.000 0.500 0.000
0.500 0.000 0.000
0.000 0.000 0.000
0.000 0.000 0.500

***

BAs2HSe | Alexandria | PBE-GGA | optimized geometry; calculated volume = 15.5 A^3/atom; DOS(E_F) = 2.4 states/eV per cell; polymorph energy (0 for the lowest one) = 0.41 eV per formula unit; raw total energy = -16.60 eV per cell; mass density = 5.2 g/cm3
1.0
-2.811 1.702 2.010
-2.518 -2.600 -1.320
1.046 -3.077 4.067
H As B Se
1 2 1 1
Direct
0.000 0.000 0.000
0.000 0.500 0.000
0.500 0.000 0.000
0.500 0.500 0.500
0.000 0.000 0.500